First-principles (PBE) data for a relaxed structure of KTb6Se8, as listed in the Alexandria database.

* formation energy (no corrections): -1732.5 meV per atom
* crystal system: trigonal
* SG: No. 147

abc: 11.0482 11.0482 4.1931
angles: 90.00 90.00 120.00
With the nearest neighbours (Å) after each atom.
Sites, in units of the cell vectors:
K: 0.0000 0.0000 0.0000  6 Se 3.86, 2 K 4.19
Tb: 0.1377 0.6563 0.2503  6 Se 2.86-2.97
Tb: 0.3437 0.4814 0.2503  6 Se 2.86-2.97
Tb: 0.4814 0.1377 0.7497  6 Se 2.86-2.97
Tb: 0.5186 0.8623 0.2503  6 Se 2.86-2.97
Tb: 0.6563 0.5186 0.7497  6 Se 2.86-2.97
Tb: 0.8623 0.3437 0.7497  6 Se 2.86-2.97
Se: 0.0448 0.3561 0.2492  4 Tb 2.86-2.94
Se: 0.3113 0.9552 0.2492  4 Tb 2.86-2.94
Se: 0.3333 0.6667 0.7504  6 Tb 2.97
Se: 0.3561 0.3113 0.7508  4 Tb 2.86-2.94
Se: 0.6439 0.6887 0.2492  4 Tb 2.86-2.94
Se: 0.6667 0.3333 0.2496  6 Tb 2.97
Se: 0.6887 0.0448 0.7508  4 Tb 2.86-2.94
Se: 0.9552 0.6439 0.7508  4 Tb 2.86-2.94